Zr5Mo | PBE | optimized geometry

Results
E_tot	-8.77	eV per atom
DFT formation energy	0.96	eV/f.u.
total magnetization	0.03	μB per cell
volume	130.1	Å³/f.u.

Unit cell a=5.3983 b=5.3983 c=5.1556 alpha=90.00 beta=90.00 gamma=120.00
Space group P-62m (No. 189)
Asymmetric unit:
Zr: 0.0000 0.3173 0.0000 [3 per cell]
Zr: 0.3333 0.6667 0.5000 [2 per cell]
Mo: 0.0000 0.0000 0.5000 [1 per cell]


Zr4Mo3 | PBE | optimized geometry

Results
energy above the most stable polymorph in this dataset	163	meV per atom
E_tot	-9.30	eV per atom
DFT formation energy	1.63	eV/f.u.
total magnetization	0.04	μB per cell
volume	138.6	Å³/f.u.

Unit cell a=8.3645 b=8.3645 c=4.5742 alpha=90.00 beta=90.00 gamma=120.00
Space group P6_3/m (No. 176)
Asymmetric unit:
Zr: 0.1175 0.2733 0.2500 [6 per cell]
Zr: 0.3333 0.6667 0.2500 [2 per cell]
Mo: 0.0952 0.5222 0.7500 [6 per cell]


Zr3Mo | PBE | optimized geometry

Results
energy above the most stable polymorph in this dataset	152	meV per atom
E_tot	-8.92	eV per atom
DFT formation energy	0.82	eV/f.u.
total magnetization	0.00	μB per cell
volume	84.4	Å³/f.u.

Unit cell a=6.2254 b=6.2254 c=5.0310 alpha=90.00 beta=90.00 gamma=120.00
Space group P6_3/mmc (No. 194)
Asymmetric unit:
Zr: 0.1726 0.3452 0.2500 [6 per cell]
Mo: 0.3333 0.6667 0.7500 [2 per cell]


Zr4Mo3 | PBE | optimized geometry

Results
energy above the most stable polymorph in this dataset	0	meV per atom
E_tot	-9.46	eV per atom
DFT formation energy	0.49	eV/f.u.
total magnetization	0.02	μB per cell
volume	135.9	Å³/f.u.

Unit cell a=7.180 b=4.884 c=8.245 alpha=90.00 beta=109.97 gamma=90.00
Space group P2_1/m (No. 11)
Asymmetric unit:
Zr: 0.081 0.250 0.094 [2 per cell]
Zr: 0.101 0.750 0.628 [2 per cell]
Zr: 0.191 0.750 0.301 [2 per cell]
Zr: 0.363 0.250 0.546 [2 per cell]
Mo: 0.241 0.250 0.836 [2 per cell]
Mo: 0.377 0.750 0.029 [2 per cell]
Mo: 0.498 0.250 0.233 [2 per cell]


Na4NbN3 | PBE | optimized geometry

Results
E_tot	-5.36	eV per atom
total magnetization	0.01	μB per cell
volume	117.9	Å³/f.u.

Unit cell a=10.323 b=6.664 c=6.994 alpha=90.00 beta=101.35 gamma=90.00
Space group Cc (No. 9)
Asymmetric unit:
Na: 0.000 0.093 0.000 [4 per cell]
Na: 0.129 0.304 0.738 [4 per cell]
Na: 0.175 0.217 0.387 [4 per cell]
Na: 0.300 0.344 0.076 [4 per cell]
Nb: 0.395 0.086 0.736 [4 per cell]
N: 0.222 0.017 0.149 [4 per cell]
N: 0.372 0.371 0.762 [4 per cell]
N: 0.494 0.035 0.502 [4 per cell]


NaNbNO | PBE | optimized geometry

Results
energy above the most stable polymorph in this dataset	182	meV per atom
E_tot	-7.45	eV per atom
total magnetization	0.00	μB per cell
volume	42.0	Å³/f.u.

Unit cell a=3.108 b=3.108 c=4.349 alpha=90.00 beta=90.00 gamma=90.00
Space group P4/mmm (No. 123)
Asymmetric unit:
Na: 0.000 0.000 0.000 [1 per cell]
Nb: 0.500 0.500 0.500 [1 per cell]
N: 0.000 0.000 0.500 [1 per cell]
O: 0.500 0.500 0.000 [1 per cell]


NaNbNO | PBE | optimized geometry

Results
energy above the most stable polymorph in this dataset	900	meV per atom
E_tot	-6.73	eV per atom
total magnetization	1.84	μB per cell
volume	43.5	Å³/f.u.

Unit cell a=3.278 b=3.278 c=8.106 alpha=90.00 beta=90.00 gamma=90.00
Space group P4/nmm (No. 129, origin choice 2)
Asymmetric unit:
Na: 0.250 0.750 0.000 [2 per cell]
Nb: 0.250 0.250 0.336 [2 per cell]
N: 0.250 0.250 0.779 [2 per cell]
O: 0.250 0.750 0.500 [2 per cell]


NaNbNO | PBE | optimized geometry

Results
energy above the most stable polymorph in this dataset	240	meV per atom
E_tot	-7.39	eV per atom
total magnetization	0.01	μB per cell
volume	60.0	Å³/f.u.

Unit cell a=3.448 b=6.250 c=5.571 alpha=90.00 beta=90.00 gamma=90.00
Space group Pmc2_1 (No. 26)
Asymmetric unit:
Na: 0.000 0.134 0.000 [2 per cell]
Nb: 0.500 0.379 0.489 [2 per cell]
N: 0.000 0.241 0.416 [2 per cell]
O: 0.500 0.327 0.852 [2 per cell]


NaNbNO | PBE | optimized geometry

Results
energy above the most stable polymorph in this dataset	0	meV per atom
E_tot	-7.63	eV per atom
total magnetization	0.03	μB per cell
volume	53.3	Å³/f.u.

Unit cell a=6.182 b=7.658 c=4.507 alpha=90.00 beta=90.00 gamma=90.00
Space group Pca2_1 (No. 29)
Asymmetric unit:
Na: 0.094 0.116 0.000 [4 per cell]
Nb: 0.088 0.619 0.999 [4 per cell]
N: 0.081 0.607 0.498 [4 per cell]
O: 0.040 0.156 0.500 [4 per cell]


NaNbNO | PBE | optimized geometry

Results
energy above the most stable polymorph in this dataset	96	meV per atom
E_tot	-7.53	eV per atom
total magnetization	0.01	μB per cell
volume	50.7	Å³/f.u.

Unit cell a=5.980 b=5.959 c=5.692 alpha=90.00 beta=90.12 gamma=90.00
Space group Cm (No. 8)
Asymmetric unit:
Na: 0.000 0.000 0.000 [2 per cell]
Na: 0.002 0.500 0.001 [2 per cell]
Nb: 0.252 0.239 0.476 [4 per cell]
N: 0.008 0.500 0.574 [2 per cell]
N: 0.497 0.500 0.574 [2 per cell]
O: 0.252 0.250 0.150 [4 per cell]


NaNbNO | PBE | optimized geometry

Results
energy above the most stable polymorph in this dataset	236	meV per atom
E_tot	-7.39	eV per atom
total magnetization	0.02	μB per cell
volume	60.6	Å³/f.u.

Unit cell a=3.617 b=6.145 c=5.451 alpha=90.00 beta=90.00 gamma=90.00
Space group Pmc2_1 (No. 26)
Asymmetric unit:
Na: 0.000 0.153 0.000 [2 per cell]
Nb: 0.500 0.353 0.493 [2 per cell]
N: 0.500 0.358 0.851 [2 per cell]
O: 0.000 0.218 0.426 [2 per cell]


Na3Sr3Ni4N4 | PBE | optimized geometry

Results
E_tot	-4.92	eV per atom
total magnetization	0.21	μB per cell
volume	268.2	Å³/f.u.

Unit cell a=4.447 b=6.997 c=17.240 alpha=90.00 beta=90.00 gamma=90.00
Space group Immm (No. 71)
Asymmetric unit:
Na: 0.000 0.000 0.000 [2 per cell]
Na: 0.000 0.500 0.382 [4 per cell]
Sr: 0.000 0.000 0.289 [4 per cell]
Sr: 0.000 0.000 0.500 [2 per cell]
Ni: 0.000 0.251 0.129 [8 per cell]
N: 0.000 0.000 0.138 [4 per cell]
N: 0.000 0.500 0.118 [4 per cell]